[1]
An optimized crystal structure of KTcHgBr6. Source: Alexandria via LeMat-Bulk, functional PBE.

Computed properties:
* theoretical density: 4.49 g cm⁻³
* uncorrected formation energy: -5.50 eV/f.u.
* V: 604 Å³/cell
* E: -54.61 eV/cell

Unit cell a=7.690 b=7.690 c=11.791 alpha=90.00 beta=90.00 gamma=120.00
Fractional coordinates of all 18 atoms:
K (0.333, 0.667, 0.250)
K (0.667, 0.333, 0.750)
Tc (0.333, 0.667, 0.750)
Tc (0.667, 0.333, 0.250)
Hg (0.000, 0.000, 0.000)
Hg (0.000, 0.000, 0.500)
Br (0.069, 0.396, 0.623)
Br (0.069, 0.673, 0.877)
Br (0.327, 0.396, 0.877)
Br (0.327, 0.931, 0.623)
Br (0.396, 0.069, 0.123)
Br (0.396, 0.327, 0.377)
Br (0.604, 0.673, 0.623)
Br (0.604, 0.931, 0.877)
Br (0.673, 0.069, 0.377)
Br (0.673, 0.604, 0.123)
Br (0.931, 0.327, 0.123)
Br (0.931, 0.604, 0.377)


[2]
An optimized crystal structure of NdHo4Tm2. Source: Alexandria via LeMat-Bulk, functional PBE.

Computed properties:
* formation energy: 33.5 meV/atom
* theoretical density: 8.62 g cm⁻³
* polymorph energy (0 for the lowest one): 0 meV per atom
* V: 220 Å³/cell
* E: -31.79 eV/cell

Unit cell a=8.452 b=8.452 c=8.687 alpha=118.51 beta=118.51 gamma=23.96
Fractional coordinates of all 7 atoms:
Nd (0.000, 0.000, 0.000)
Ho (0.295, 0.295, 0.706)
Ho (0.359, 0.359, 0.170)
Ho (0.641, 0.641, 0.830)
Ho (0.705, 0.705, 0.294)
Tm (0.071, 0.071, 0.431)
Tm (0.929, 0.929, 0.569)


[3]
An optimized crystal structure of ReNi2Br. Source: Alexandria via LeMat-Bulk, functional PBE.

Computed properties:
* theoretical density: 11.23 g cm⁻³
* polymorph energy (0 for the lowest one): 586 meV per atom
* uncorrected formation energy: 3.94 eV/f.u.
* V: 57 Å³/cell
* E: -21.74 eV/cell

Unit cell a=2.862 b=4.371 c=4.532 alpha=90.00 beta=90.00 gamma=90.00
Fractional coordinates of all 4 atoms:
Re (0.000, 0.000, 0.000)
Ni (0.000, 0.500, 0.500)
Ni (0.500, 0.500, 0.000)
Br (0.500, 0.000, 0.500)


[4]
An optimized crystal structure of CeGaSe4. Source: Alexandria via LeMat-Bulk, functional PBE.

Computed properties:
* theoretical density: 5.36 g cm⁻³
* uncorrected formation energy: -5.25 eV/f.u.
* V: 326 Å³/cell
* E: -56.30 eV/cell

Unit cell a=6.011 b=9.232 c=6.013 alpha=90.00 beta=102.67 gamma=90.00
Fractional coordinates of all 12 atoms:
Ce (0.096, 0.250, 0.097)
Ce (0.904, 0.750, 0.903)
Ga (0.431, 0.750, 0.432)
Ga (0.569, 0.250, 0.568)
Se (0.175, 0.250, 0.598)
Se (0.211, 0.554, 0.213)
Se (0.211, 0.946, 0.213)
Se (0.402, 0.750, 0.826)
Se (0.598, 0.250, 0.174)
Se (0.789, 0.054, 0.787)
Se (0.789, 0.446, 0.787)
Se (0.825, 0.750, 0.402)


[5]
An optimized crystal structure of Sm3Y3TmS8. Source: Alexandria via LeMat-Bulk, functional PBE.

Computed properties:
* theoretical density: 5.45 g cm⁻³
* uncorrected formation energy: -30.85 eV/f.u.
* V: 349 Å³/cell
* E: -101.89 eV/cell

Unit cell a=7.920 b=7.920 c=7.920 alpha=59.67 beta=59.67 gamma=59.67
Fractional coordinates of all 15 atoms:
Sm (0.000, 0.500, 0.500)
Sm (0.500, 0.000, 0.500)
Sm (0.500, 0.500, 0.000)
Y (0.000, 0.000, 0.500)
Y (0.000, 0.500, 0.000)
Y (0.500, 0.000, 0.000)
Tm (0.500, 0.500, 0.500)
S (0.247, 0.247, 0.247)
S (0.250, 0.745, 0.745)
S (0.255, 0.255, 0.750)
S (0.255, 0.750, 0.255)
S (0.745, 0.250, 0.745)
S (0.745, 0.745, 0.250)
S (0.750, 0.255, 0.255)
S (0.753, 0.753, 0.753)


[6]
An optimized crystal structure of Ac5Cd4Sn. Source: Alexandria via LeMat-Bulk, functional PBE.

Computed properties:
* formation energy: -357.9 meV/atom
* theoretical density: 8.31 g cm⁻³
* V: 340 Å³/cell
* E: -31.78 eV/cell

Unit cell a=4.059 b=4.059 c=20.656 alpha=90.00 beta=90.00 gamma=90.00
Fractional coordinates of all 10 atoms:
Ac (0.000, 0.000, 0.000)
Ac (0.000, 0.000, 0.199)
Ac (0.000, 0.000, 0.399)
Ac (0.000, 0.000, 0.601)
Ac (0.000, 0.000, 0.801)
Cd (0.500, 0.500, 0.100)
Cd (0.500, 0.500, 0.296)
Cd (0.500, 0.500, 0.704)
Cd (0.500, 0.500, 0.900)
Sn (0.500, 0.500, 0.500)


[7]
An optimized crystal structure of La2NdYSe6. Source: Alexandria via LeMat-Bulk, functional PBE.

Computed properties:
* theoretical density: 5.09 g cm⁻³
* uncorrected formation energy: -19.15 eV/f.u.
* V: 321 Å³/cell
* E: -61.15 eV/cell

Unit cell a=7.874 b=7.874 c=7.874 alpha=56.97 beta=56.97 gamma=56.97
Fractional coordinates of all 10 atoms:
La (0.000, 0.000, 0.000)
La (0.498, 0.498, 0.498)
Nd (0.205, 0.205, 0.205)
Y (0.702, 0.702, 0.702)
Se (0.081, 0.417, 0.815)
Se (0.319, 0.905, 0.593)
Se (0.417, 0.815, 0.081)
Se (0.593, 0.319, 0.905)
Se (0.815, 0.081, 0.417)
Se (0.905, 0.593, 0.319)


[8]
An optimized crystal structure of Eu2ZnHg. Source: Alexandria via LeMat-Bulk, functional PBE.

Computed properties:
* formation energy: -404.9 meV/atom
* theoretical density: 8.45 g cm⁻³
* polymorph energy (0 for the lowest one): 0 meV per atom
* V: 112 Å³/cell
* E: -23.74 eV/cell

Unit cell a=3.825 b=3.825 c=7.661 alpha=90.00 beta=90.00 gamma=90.00
Fractional coordinates of all 4 atoms:
Eu (0.000, 0.000, 0.241)
Eu (0.000, 0.000, 0.759)
Zn (0.500, 0.500, 0.000)
Hg (0.500, 0.500, 0.500)


[9]
An optimized crystal structure of Ac2MgIn4Pd3. Source: Alexandria via LeMat-Bulk, functional PBE.

Computed properties:
* formation energy: -596.5 meV/atom
* theoretical density: 8.42 g cm⁻³
* V: 248 Å³/cell
* E: -42.31 eV/cell

Unit cell a=4.449 b=4.449 c=12.518 alpha=90.00 beta=90.00 gamma=90.00
Fractional coordinates of all 10 atoms:
Ac (0.000, 0.500, 0.236)
Ac (0.500, 0.000, 0.764)
Mg (0.000, 0.000, 0.500)
In (0.000, 0.000, 0.000)
In (0.000, 0.500, 0.640)
In (0.500, 0.000, 0.360)
In (0.500, 0.500, 0.000)
Pd (0.000, 0.500, 0.860)
Pd (0.500, 0.000, 0.140)
Pd (0.500, 0.500, 0.500)


[10]
An optimized crystal structure of Sc3GaTe6. Source: Alexandria via LeMat-Bulk, functional PBE.

Computed properties:
* theoretical density: 5.48 g cm⁻³
* uncorrected formation energy: -9.11 eV/f.u.
* V: 588 Å³/cell
* E: -99.97 eV/cell

Unit cell a=9.264 b=9.264 c=7.009 alpha=90.00 beta=90.00 gamma=102.08
Fractional coordinates of all 20 atoms:
Sc (0.092, 0.908, 0.500)
Sc (0.222, 0.415, 0.608)
Sc (0.415, 0.222, 0.108)
Sc (0.585, 0.778, 0.608)
Sc (0.778, 0.585, 0.108)
Sc (0.908, 0.092, 0.000)
Ga (0.294, 0.706, 0.137)
Ga (0.706, 0.294, 0.637)
Te (0.053, 0.602, 0.339)
Te (0.127, 0.203, 0.300)
Te (0.203, 0.127, 0.800)
Te (0.279, 0.721, 0.761)
Te (0.398, 0.947, 0.339)
Te (0.463, 0.537, 0.296)
Te (0.537, 0.463, 0.796)
Te (0.602, 0.053, 0.839)
Te (0.721, 0.279, 0.261)
Te (0.797, 0.873, 0.300)
Te (0.873, 0.797, 0.800)
Te (0.947, 0.398, 0.839)


[11]
An optimized crystal structure of CeHgPt. Source: Alexandria via LeMat-Bulk, functional PBE.

Computed properties:
* formation energy: -803.4 meV/atom
* theoretical density: 12.55 g cm⁻³
* V: 142 Å³/cell
* E: -29.37 eV/cell

Unit cell a=9.045 b=9.045 c=4.234 alpha=90.00 beta=90.00 gamma=155.84
Fractional coordinates of all 6 atoms:
Ce (0.096, 0.904, 0.750)
Ce (0.904, 0.096, 0.250)
Hg (0.287, 0.713, 0.750)
Hg (0.713, 0.287, 0.250)
Pt (0.447, 0.553, 0.750)
Pt (0.553, 0.447, 0.250)


[12]
An optimized crystal structure of PrGa4Pt8. Source: Alexandria via LeMat-Bulk, functional PBE.

Computed properties:
* formation energy: -647.0 meV/atom
* theoretical density: 15.19 g cm⁻³
* V: 217 Å³/cell
* E: -73.62 eV/cell

Unit cell a=6.861 b=6.861 c=6.861 alpha=99.14 beta=99.14 gamma=133.01
Fractional coordinates of all 13 atoms:
Pr (0.000, 0.000, 0.000)
Ga (0.000, 0.000, 0.500)
Ga (0.000, 0.500, 0.000)
Ga (0.500, 0.000, 0.000)
Ga (0.500, 0.500, 0.500)
Pt (0.000, 0.337, 0.337)
Pt (0.000, 0.663, 0.663)
Pt (0.274, 0.500, 0.774)
Pt (0.337, 0.000, 0.337)
Pt (0.500, 0.274, 0.774)
Pt (0.500, 0.726, 0.226)
Pt (0.663, 0.000, 0.663)
Pt (0.726, 0.500, 0.226)


[13]
An optimized crystal structure of YMnCd. Source: Alexandria via LeMat-Bulk, functional PBE.

Computed properties:
* formation energy: 42.4 meV/atom
* theoretical density: 6.43 g cm⁻³
* V: 66 Å³/cell
* E: -16.42 eV/cell

Unit cell a=6.227 b=6.227 c=6.227 alpha=148.38 beta=148.38 gamma=45.33
Fractional coordinates of all 3 atoms:
Y (0.000, 0.000, 0.000)
Mn (0.663, 0.663, 0.000)
Cd (0.300, 0.300, 0.000)


[14]
An optimized crystal structure of Sc3Cd2Hg. Source: Alexandria via LeMat-Bulk, functional PBE.

Computed properties:
* formation energy: -340.6 meV/atom
* theoretical density: 7.05 g cm⁻³
* V: 132 Å³/cell
* E: -23.17 eV/cell

Unit cell a=4.989 b=4.989 c=6.124 alpha=90.00 beta=90.00 gamma=120.00
Fractional coordinates of all 6 atoms:
Sc (0.000, 0.000, 0.000)
Sc (0.333, 0.667, 0.660)
Sc (0.667, 0.333, 0.340)
Cd (0.333, 0.667, 0.153)
Cd (0.667, 0.333, 0.847)
Hg (0.000, 0.000, 0.500)


[15]
An optimized crystal structure of Ta2Te. Source: Alexandria via LeMat-Bulk, functional PBE.

Computed properties:
* theoretical density: 13.82 g cm⁻³
* uncorrected formation energy: 0.70 eV/f.u.
* V: 118 Å³/cell
* E: -52.30 eV/cell

Unit cell a=7.218 b=7.218 c=4.714 alpha=90.00 beta=90.00 gamma=151.38
Fractional coordinates of all 6 atoms:
Ta (0.082, 0.918, 0.750)
Ta (0.265, 0.735, 0.250)
Ta (0.735, 0.265, 0.750)
Ta (0.918, 0.082, 0.250)
Te (0.407, 0.593, 0.750)
Te (0.593, 0.407, 0.250)


[16]
An optimized crystal structure of Lu3ThH. Source: Alexandria via LeMat-Bulk, functional PBE.

Computed properties:
* theoretical density: 10.68 g cm⁻³
* V: 118 Å³/cell
* E: -24.97 eV/cell

Unit cell a=4.903 b=4.903 c=4.903 alpha=90.00 beta=90.00 gamma=90.00
Fractional coordinates of all 5 atoms:
Lu (0.000, 0.000, 0.500)
Lu (0.000, 0.500, 0.000)
Lu (0.500, 0.000, 0.000)
Th (0.500, 0.500, 0.500)
H (0.000, 0.000, 0.000)


[17]
An optimized crystal structure of BRuWAu2. Source: Alexandria via LeMat-Bulk, functional PBE.

Computed properties:
* formation energy: 876.2 meV/atom
* theoretical density: 15.02 g cm⁻³
* polymorph energy (0 for the lowest one): 0 meV per atom
* V: 76 Å³/cell
* E: -31.08 eV/cell

Unit cell a=4.328 b=4.328 c=4.070 alpha=90.00 beta=90.00 gamma=90.00
Fractional coordinates of all 5 atoms:
B (0.000, 0.000, 0.000)
Ru (0.000, 0.000, 0.500)
W (0.500, 0.500, 0.500)
Au (0.000, 0.500, 0.000)
Au (0.500, 0.000, 0.000)


[18]
An optimized crystal structure of CeMgScNb. Source: Alexandria via LeMat-Bulk, functional PBE.

Computed properties:
* formation energy: 144.0 meV/atom
* theoretical density: 5.58 g cm⁻³
* V: 90 Å³/cell
* E: -23.35 eV/cell

Unit cell a=5.028 b=5.028 c=5.028 alpha=60.00 beta=60.00 gamma=60.00
Fractional coordinates of all 4 atoms:
Ce (0.000, 0.000, 0.000)
Mg (0.250, 0.250, 0.250)
Sc (0.500, 0.500, 0.500)
Nb (0.750, 0.750, 0.750)


[19]
An optimized crystal structure of Tl2AsPdCl6. Source: Alexandria via LeMat-Bulk, functional PBE.

Computed properties:
* theoretical density: 5.12 g cm⁻³
* uncorrected formation energy: -6.89 eV/f.u.
* V: 260 Å³/cell
* E: -32.55 eV/cell

Unit cell a=7.177 b=7.167 c=7.159 alpha=60.12 beta=60.00 gamma=59.88
Fractional coordinates of all 10 atoms:
Tl (0.250, 0.250, 0.250)
Tl (0.750, 0.750, 0.750)
As (0.000, 0.000, 0.000)
Pd (0.500, 0.500, 0.500)
Cl (0.248, 0.248, 0.752)
Cl (0.249, 0.751, 0.249)
Cl (0.249, 0.751, 0.751)
Cl (0.751, 0.249, 0.249)
Cl (0.751, 0.249, 0.751)
Cl (0.752, 0.752, 0.248)


[20]
An optimized crystal structure of Y2PuTl9. Source: Alexandria via LeMat-Bulk, functional PBE.

Computed properties:
* formation energy: -178.9 meV/atom
* theoretical density: 11.49 g cm⁻³
* V: 327 Å³/cell
* E: -50.70 eV/cell

Unit cell a=4.772 b=4.772 c=14.352 alpha=90.00 beta=90.00 gamma=90.00
Fractional coordinates of all 12 atoms:
Y (0.000, 0.000, 0.164)
Y (0.000, 0.000, 0.836)
Pu (0.000, 0.000, 0.500)
Tl (0.000, 0.500, 0.000)
Tl (0.000, 0.500, 0.333)
Tl (0.000, 0.500, 0.667)
Tl (0.500, 0.000, 0.000)
Tl (0.500, 0.000, 0.333)
Tl (0.500, 0.000, 0.667)
Tl (0.500, 0.500, 0.168)
Tl (0.500, 0.500, 0.500)
Tl (0.500, 0.500, 0.832)


[21]
An optimized crystal structure of RbHg3Au. Source: Alexandria via LeMat-Bulk, functional PBE.

Computed properties:
* formation energy: -206.0 meV/atom
* theoretical density: 9.39 g cm⁻³
* polymorph energy (0 for the lowest one): 0 meV per atom
* V: 313 Å³/cell
* E: -12.36 eV/cell

Unit cell a=7.113 b=7.113 c=6.945 alpha=90.00 beta=90.00 gamma=117.15
Fractional coordinates of all 10 atoms:
Rb (0.233, 0.767, 0.750)
Rb (0.767, 0.233, 0.250)
Hg (0.120, 0.880, 0.250)
Hg (0.285, 0.285, 0.000)
Hg (0.285, 0.285, 0.500)
Hg (0.715, 0.715, 0.000)
Hg (0.715, 0.715, 0.500)
Hg (0.880, 0.120, 0.750)
Au (0.353, 0.647, 0.250)
Au (0.647, 0.353, 0.750)


[22]
An optimized crystal structure of Ce5Te2Se2. Source: Alexandria via LeMat-Bulk, functional PBE.

Computed properties:
* theoretical density: 7.44 g cm⁻³
* uncorrected formation energy: -11.49 eV/f.u.
* V: 497 Å³/cell
* E: -108.82 eV/cell

Unit cell a=8.769 b=8.769 c=7.957 alpha=90.00 beta=90.00 gamma=54.35
Fractional coordinates of all 18 atoms:
Ce (0.000, 0.000, 0.000)
Ce (0.031, 0.719, 0.656)
Ce (0.219, 0.531, 0.156)
Ce (0.281, 0.969, 0.656)
Ce (0.469, 0.781, 0.156)
Ce (0.500, 0.500, 0.500)
Ce (0.531, 0.219, 0.844)
Ce (0.719, 0.031, 0.344)
Ce (0.781, 0.469, 0.844)
Ce (0.969, 0.281, 0.344)
Te (0.203, 0.203, 0.000)
Te (0.297, 0.297, 0.500)
Te (0.703, 0.703, 0.500)
Te (0.797, 0.797, 0.000)
Se (0.147, 0.853, 0.354)
Se (0.353, 0.647, 0.854)
Se (0.647, 0.353, 0.146)
Se (0.853, 0.147, 0.646)


[23]
An optimized crystal structure of Ba6P2HCl3. Source: Alexandria via LeMat-Bulk, functional PBE.

Computed properties:
* theoretical density: 4.09 g cm⁻³
* V: 403 Å³/cell
* E: -48.51 eV/cell

Unit cell a=7.866 b=7.866 c=7.974 alpha=99.52 beta=99.52 gamma=119.97
Fractional coordinates of all 12 atoms:
Ba (0.087, 0.423, 0.770)
Ba (0.240, 0.240, 0.232)
Ba (0.423, 0.087, 0.770)
Ba (0.577, 0.913, 0.230)
Ba (0.760, 0.760, 0.768)
Ba (0.913, 0.577, 0.230)
P (0.166, 0.834, 0.000)
P (0.834, 0.166, 0.000)
H (0.500, 0.500, 0.000)
Cl (0.000, 0.000, 0.500)
Cl (0.329, 0.671, 0.500)
Cl (0.671, 0.329, 0.500)